#i
Entry from Alexandria via LeMat-Bulk: a geometry-optimized Cs2BeSb structure (PBE).

Summary:
**Crystal system**: cubic

Lattice parameters (Å, degrees): 9.0157 9.0157 9.0157 90.00 90.00 90.00
Space group Fm-3m (No. 225)
Inequivalent atoms, fractional coordinates:
Cs: 0.2500 0.2500 0.2500 [8 per cell]
Be: 0.0000 0.0000 0.0000 [4 per cell]
Sb: 0.0000 0.0000 0.5000 [4 per cell]

#ii
Entry from Alexandria via LeMat-Bulk: a geometry-optimized Cs2BeSb structure (PBE).

Summary:
**Crystal system**: tetragonal

Lattice parameters (Å, degrees): 5.3030 5.3030 24.8608 90.00 90.00 90.00
Space group I-42d (No. 122)
Inequivalent atoms, fractional coordinates:
Cs: 0.2359 0.2500 0.1250 [8 per cell]
Be: 0.0000 0.0000 0.0000 [4 per cell]
Sb: 0.0000 0.0000 0.5000 [4 per cell]

Least stable of them? #ii.